Computed, not measured: a relaxed structure of Li2ReSi at the PBE level of DFT.

Output
- ΔE_f (raw) (meV/atom) = 99

Geometry as CIF:
```
data_Li2ReSi
_cell_length_a 4.903
_cell_length_b 8.913
_cell_length_c 2.577
_cell_angle_alpha 90.00
_cell_angle_beta 90.00
_cell_angle_gamma 90.00
_symmetry_space_group_name_H-M 'C m m m'
_symmetry_Int_Tables_number 65
_symmetry_space_group_name_Hall '-C 2 2'
loop_
_atom_site_label
_atom_site_type_symbol
_atom_site_fract_x
_atom_site_fract_y
_atom_site_fract_z
Li1 Li 0.250 0.250 0.000
Re1 Re 0.000 0.000 0.500
Si1 Si 0.000 0.500 0.500
```

Computed, not measured: a relaxed structure of Cs5I2Br3 at the PBE level of DFT.

Output
- ΔE_f (raw) (meV/atom) = -1665

Geometry as CIF:
```
data_Cs5I2Br3
_cell_length_a 19.147
_cell_length_b 5.193
_cell_length_c 13.768
_cell_angle_alpha 90.00
_cell_angle_beta 126.33
_cell_angle_gamma 90.00
_symmetry_space_group_name_H-M 'C 1 2/m 1'
_symmetry_Int_Tables_number 12
_symmetry_space_group_name_Hall '-C 2y'
loop_
_atom_site_label
_atom_site_type_symbol
_atom_site_fract_x
_atom_site_fract_y
_atom_site_fract_z
Cs1 Cs 0.000 0.000 0.000
Cs2 Cs 0.091 0.000 0.412
Cs3 Cs 0.204 0.500 0.808
I1 I 0.171 0.500 0.269
Br1 Br 0.000 0.500 0.500
Br2 Br 0.114 0.000 0.875
```

Computed, not measured: a relaxed structure of Pm5Pr6Er at the PBE level of DFT.

Output
- E_form (eV/atom) = 0.014

Geometry as CIF:
```
data_Pm5Pr6Er
_cell_length_a 5.198
_cell_length_b 10.356
_cell_length_c 15.576
_cell_angle_alpha 90.00
_cell_angle_beta 90.00
_cell_angle_gamma 90.00
_symmetry_space_group_name_H-M 'I m m m'
_symmetry_Int_Tables_number 71
_symmetry_space_group_name_Hall '-I 2 2'
loop_
_atom_site_label
_atom_site_type_symbol
_atom_site_fract_x
_atom_site_fract_y
_atom_site_fract_z
Pm1 Pm 0.000 0.000 0.000
Pm2 Pm 0.000 0.000 0.334
Pm3 Pm 0.000 0.500 0.333
Pr1 Pr 0.000 0.248 0.500
Pr2 Pr 0.000 0.251 0.166
Er1 Er 0.000 0.500 0.000
```

Computed, not measured: a relaxed structure of Ca4NdPa3P8 at the PBE level of DFT.

Output
- E_form (eV/atom) = -1.285

Geometry as CIF:
```
data_Ca4NdPa3P8
_cell_length_a 8.1817
_cell_length_b 8.1817
_cell_length_c 19.8702
_cell_angle_alpha 90.00
_cell_angle_beta 90.00
_cell_angle_gamma 120.00
_symmetry_space_group_name_H-M 'R -3 m'
_symmetry_Int_Tables_number 166
_symmetry_space_group_name_Hall '-R 3 2"'
loop_
_atom_site_label
_atom_site_type_symbol
_atom_site_fract_x
_atom_site_fract_y
_atom_site_fract_z
Ca1 Ca 0.0000 0.0000 0.0000
Ca2 Ca 0.0000 0.5000 0.0000
Nd1 Nd 0.0000 0.0000 0.5000
Pa1 Pa 0.0000 0.5000 0.5000
P1 P 0.0000 0.0000 0.2432
P2 P 0.0127 0.5064 0.7560
```

| no. | electronic total energy (eV/atom) |
| --- | --- |
| 1 | -5.3258 |
| 2 | -2.9035 |
| 3 | -4.7355 |
| 4 | -6.5688 |